The following is a DFT calculation (PBE-GGA) of a geometry-optimized KCuBi2 structure.

## Properties
Relative energy among the computed polymorphs   0.1102 eV/atom
Volume   36.36 Å³/atom

CIF file:
```
data_KCuBi2
_cell_length_a 5.661
_cell_length_b 5.661
_cell_length_c 18.152
_cell_angle_alpha 90.00
_cell_angle_beta 90.00
_cell_angle_gamma 90.00
_symmetry_space_group_name_H-M 'I -4 2 d'
_symmetry_Int_Tables_number 122
_symmetry_space_group_name_Hall 'I -4 2bw'
loop_
_atom_site_label
_atom_site_fract_x
_atom_site_fract_y
_atom_site_fract_z
K1 0.000 0.000 0.000
Cu1 0.000 0.000 0.500
Bi1 0.123 0.250 0.625
```

---

The following is a DFT calculation (PBE-GGA) of a geometry-optimized KCu3Bi structure.

## Properties
Relative energy among the computed polymorphs   0.0000 eV/atom
Volume   28.39 Å³/atom

CIF file:
```
data_KCu3Bi
_cell_length_a 5.217
_cell_length_b 5.217
_cell_length_c 5.217
_cell_angle_alpha 90.00
_cell_angle_beta 90.00
_cell_angle_gamma 90.00
_symmetry_space_group_name_H-M 'P m -3 m'
_symmetry_Int_Tables_number 221
_symmetry_space_group_name_Hall '-P 4 2 3'
loop_
_atom_site_label
_atom_site_fract_x
_atom_site_fract_y
_atom_site_fract_z
K1 0.000 0.000 0.000
Cu1 0.000 0.500 0.500
Bi1 0.500 0.500 0.500
```

---

The following is a DFT calculation (PBE-GGA) of a geometry-optimized KCu2Bi structure.

## Properties
Volume   31.62 Å³/atom
Total DFT energy (no corrections)   -3.15 eV per atom

CIF file:
```
data_KCu2Bi
_cell_length_a 5.377
_cell_length_b 5.377
_cell_length_c 17.498
_cell_angle_alpha 90.00
_cell_angle_beta 90.00
_cell_angle_gamma 90.00
_symmetry_space_group_name_H-M 'I 41/a m d'
_symmetry_Int_Tables_number 141
loop_
_symmetry_equiv_pos_as_xyz
'x,y,z'
'-x,-y,-z'
'-y+1/4,x+3/4,z+1/4'
'y+1/4,-x+3/4,-z+1/4'
'-x+1/2,-y,z+1/2'
'x+1/2,y,-z+1/2'
'y+1/4,-x+1/4,z+3/4'
'-y+1/4,x+1/4,-z+3/4'
'x,-y,-z'
'-x,y,z'
'-y+1/4,-x+1/4,-z+3/4'
'y+1/4,x+1/4,z+3/4'
'-x+1/2,y,-z+1/2'
'x+1/2,-y,z+1/2'
'y+1/4,x+3/4,-z+1/4'
'-y+1/4,-x+3/4,z+1/4'
'x+1/2,y+1/2,z+1/2'
'-x+1/2,-y+1/2,-z+1/2'
'-y+3/4,x+1/4,z+3/4'
'y+3/4,-x+1/4,-z+3/4'
'-x,-y+1/2,z'
'x,y+1/2,-z'
'y+3/4,-x+3/4,z+1/4'
'-y+3/4,x+3/4,-z+1/4'
'x+1/2,-y+1/2,-z+1/2'
'-x+1/2,y+1/2,z+1/2'
'-y+3/4,-x+3/4,-z+1/4'
'y+3/4,x+3/4,z+1/4'
'-x,y+1/2,-z'
'x,-y+1/2,z'
'y+3/4,x+1/4,-z+3/4'
'-y+3/4,-x+1/4,z+3/4'
loop_
_atom_site_label
_atom_site_fract_x
_atom_site_fract_y
_atom_site_fract_z
K1 0.000 0.250 0.375
Cu1 0.000 0.000 0.000
Bi1 0.000 0.250 0.875
```

---

The following is a DFT calculation (PBE-GGA) of a geometry-optimized KCuBi structure.

## Properties
Relative energy among the computed polymorphs   0.0000 eV/atom
Volume   30.11 Å³/atom

CIF file:
```
data_KCuBi
_cell_length_a 4.739
_cell_length_b 4.739
_cell_length_c 8.043
_cell_angle_alpha 90.00
_cell_angle_beta 90.00
_cell_angle_gamma 90.00
_symmetry_space_group_name_H-M 'P 4/n m m'
_symmetry_Int_Tables_number 129
loop_
_symmetry_equiv_pos_as_xyz
'x,y,z'
'-x,-y,-z'
'-y+1/2,x,z'
'y+1/2,-x,-z'
'-x+1/2,-y+1/2,z'
'x+1/2,y+1/2,-z'
'y,-x+1/2,z'
'-y,x+1/2,-z'
'x+1/2,-y,-z'
'-x+1/2,y,z'
'-y,-x,-z'
'y,x,z'
'-x,y+1/2,-z'
'x,-y+1/2,z'
'y+1/2,x+1/2,-z'
'-y+1/2,-x+1/2,z'
loop_
_atom_site_label
_atom_site_fract_x
_atom_site_fract_y
_atom_site_fract_z
K1 0.250 0.250 0.169
Cu1 0.250 0.750 0.500
Bi1 0.250 0.250 0.675
```

---

The following is a DFT calculation (PBE-GGA) of a geometry-optimized KCuBi2 structure.

## Properties
Relative energy among the computed polymorphs   0.2511 eV/atom
Volume   27.26 Å³/atom

CIF file:
```
data_KCuBi2
_cell_length_a 7.584
_cell_length_b 7.584
_cell_length_c 7.584
_cell_angle_alpha 90.00
_cell_angle_beta 90.00
_cell_angle_gamma 90.00
_symmetry_space_group_name_H-M 'F m -3 m'
_symmetry_Int_Tables_number 225
_symmetry_space_group_name_Hall '-F 4 2 3'
loop_
_atom_site_label
_atom_site_fract_x
_atom_site_fract_y
_atom_site_fract_z
K1 0.000 0.000 0.000
Cu1 0.000 0.000 0.500
Bi1 0.250 0.250 0.250
```

---

The following is a DFT calculation (PBE-GGA) of a geometry-optimized K2CuBi structure.

## Properties
Volume   52.37 Å³/atom
Total DFT energy (no corrections)   -2.59 eV per atom

CIF file:
```
data_K2CuBi
_cell_length_a 12.997
_cell_length_b 12.997
_cell_length_c 4.960
_cell_angle_alpha 90.00
_cell_angle_beta 90.00
_cell_angle_gamma 90.00
_symmetry_space_group_name_H-M 'I -4 2 d'
_symmetry_Int_Tables_number 122
_symmetry_space_group_name_Hall 'I -4 2bw'
loop_
_atom_site_label
_atom_site_fract_x
_atom_site_fract_y
_atom_site_fract_z
K1 0.001 0.250 0.125
Cu1 0.000 0.000 0.000
Bi1 0.000 0.000 0.500
```

---

The following is a DFT calculation (PBE-GGA) of a geometry-optimized KCuBi structure.

## Properties
Relative energy among the computed polymorphs   0.0372 eV/atom
Volume   33.10 Å³/atom

CIF file:
```
data_KCuBi
_cell_length_a 7.829
_cell_length_b 4.531
_cell_length_c 11.494
_cell_angle_alpha 90.00
_cell_angle_beta 103.09
_cell_angle_gamma 90.00
_symmetry_space_group_name_H-M 'C 1 m 1'
_symmetry_Int_Tables_number 8
loop_
_symmetry_equiv_pos_as_xyz
'x,y,z'
'x,-y,z'
'x+1/2,y+1/2,z'
'x+1/2,-y+1/2,z'
loop_
_atom_site_label
_atom_site_fract_x
_atom_site_fract_y
_atom_site_fract_z
K1 0.000 0.000 0.000
K2 0.160 0.000 0.483
Cu1 0.249 0.500 0.245
Cu2 0.260 0.000 0.780
Bi1 0.081 0.500 0.742
Bi2 0.416 0.000 0.246
```

---

The following is a DFT calculation (PBE-GGA) of a geometry-optimized K2CuBi2 structure.

## Properties
Volume   35.73 Å³/atom
Total DFT energy (no corrections)   -2.29 eV per atom

CIF file:
```
data_K2CuBi2
_cell_length_a 4.730
_cell_length_b 4.730
_cell_length_c 15.971
_cell_angle_alpha 90.00
_cell_angle_beta 90.00
_cell_angle_gamma 90.00
_symmetry_space_group_name_H-M 'I 4/m m m'
_symmetry_Int_Tables_number 139
_symmetry_space_group_name_Hall '-I 4 2'
loop_
_atom_site_label
_atom_site_fract_x
_atom_site_fract_y
_atom_site_fract_z
K1 0.000 0.500 0.250
Cu1 0.000 0.000 0.000
Bi1 0.000 0.000 0.412
```

---

The following is a DFT calculation (PBE-GGA) of a geometry-optimized K2CuBi2 structure.

## Properties
Volume   32.65 Å³/atom
Total DFT energy (no corrections)   -2.96 eV per atom

CIF file:
```
data_K2CuBi2
_cell_length_a 7.408
_cell_length_b 7.408
_cell_length_c 5.949
_cell_angle_alpha 90.00
_cell_angle_beta 90.00
_cell_angle_gamma 90.00
_symmetry_space_group_name_H-M 'P 4/m b m'
_symmetry_Int_Tables_number 127
_symmetry_space_group_name_Hall '-P 4 2ab'
loop_
_atom_site_label
_atom_site_fract_x
_atom_site_fract_y
_atom_site_fract_z
K1 0.165 0.335 0.000
Cu1 0.000 0.000 0.500
Bi1 0.153 0.653 0.500
```

---

The following is a DFT calculation (PBE-GGA) of a geometry-optimized KCu3Bi structure.

## Properties
Relative energy among the computed polymorphs   0.9318 eV/atom
Volume   25.19 Å³/atom

CIF file:
```
data_KCu3Bi
_cell_length_a 5.013
_cell_length_b 5.013
_cell_length_c 5.013
_cell_angle_alpha 90.00
_cell_angle_beta 90.00
_cell_angle_gamma 90.00
_symmetry_space_group_name_H-M 'P m -3 m'
_symmetry_Int_Tables_number 221
_symmetry_space_group_name_Hall '-P 4 2 3'
loop_
_atom_site_label
_atom_site_fract_x
_atom_site_fract_y
_atom_site_fract_z
K1 0.000 0.000 0.000
Cu1 0.000 0.000 0.500
Bi1 0.500 0.500 0.500
```

---

The following is a DFT calculation (PBE-GGA) of a geometry-optimized KCuBi2 structure.

## Properties
Relative energy among the computed polymorphs   0.0000 eV/atom
Volume   32.84 Å³/atom

CIF file:
```
data_KCuBi2
_cell_length_a 4.3861
_cell_length_b 4.3861
_cell_length_c 23.6511
_cell_angle_alpha 90.00
_cell_angle_beta 90.00
_cell_angle_gamma 120.00
_symmetry_space_group_name_H-M 'R -3 m'
_symmetry_Int_Tables_number 166
_symmetry_space_group_name_Hall '-R 3 2"'
loop_
_atom_site_label
_atom_site_fract_x
_atom_site_fract_y
_atom_site_fract_z
K1 0.0000 0.0000 0.0000
Cu1 0.0000 0.0000 0.5000
Bi1 0.0000 0.0000 0.2155
```

---

The following is a DFT calculation (PBE-GGA) of a geometry-optimized KLiCuBi2 structure.

## Properties
Volume   28.98 Å³/atom
Total DFT energy (no corrections)   -2.63 eV per atom

CIF file:
```
data_KLiCuBi2
_cell_length_a 5.207
_cell_length_b 5.207
_cell_length_c 5.345
_cell_angle_alpha 90.00
_cell_angle_beta 90.00
_cell_angle_gamma 90.00
_symmetry_space_group_name_H-M 'P 4/m m m'
_symmetry_Int_Tables_number 123
_symmetry_space_group_name_Hall '-P 4 2'
loop_
_atom_site_label
_atom_site_fract_x
_atom_site_fract_y
_atom_site_fract_z
K1 0.000 0.000 0.000
Li1 0.000 0.000 0.500
Cu1 0.500 0.500 0.000
Bi1 0.000 0.500 0.500
```